Record 1
The following is a DFT calculation (PBE) of crystalline Ti2HPt at its relaxed geometry.

Geometry as POSCAR:
```
Ti2HPt
1.0
2.8064 0.0000 0.0000
0.0000 2.8064 0.0000
0.0000 0.0000 6.4028
H Pt Ti
1 1 2
direct
0.5000 0.5000 0.0000
0.5000 0.5000 0.5000
0.0000 0.0000 0.8020
0.0000 0.0000 0.1980
```

Summary:
E   -26.4 eV/cell
Mass density   9609 kg/m3

Record 2
The following is a DFT calculation (PBE) of crystalline Ti3H12Pt5 at its relaxed geometry.

Geometry as POSCAR:
```
Ti3H12Pt5
1.0
-0.9488 7.6803 5.7163
-5.7441 0.9717 -7.6567
-2.4469 -7.9356 4.8583
Ti Pt H
12 20 48
direct
0.7500 0.3750 0.1250
0.8750 0.7500 0.1250
0.3750 0.7500 0.6250
0.2500 0.1250 0.3750
0.8750 0.1250 0.2500
0.3750 0.6250 0.2500
0.6250 0.3750 0.7500
0.1250 0.8750 0.7500
0.7500 0.8750 0.6250
0.6250 0.2500 0.3750
0.1250 0.2500 0.8750
0.2500 0.6250 0.8750
0.1250 0.3750 0.2500
0.0000 0.5000 0.0000
0.0000 0.0000 0.0000
0.3750 0.2500 0.1250
0.5000 0.0000 0.5000
0.5000 0.5000 0.0000
0.1250 0.7500 0.3750
0.7500 0.1250 0.8750
0.7500 0.6250 0.3750
0.3750 0.1250 0.7500
0.6250 0.8750 0.2500
0.5000 0.5000 0.5000
0.5000 0.0000 0.0000
0.0000 0.0000 0.5000
0.2500 0.3750 0.6250
0.2500 0.8750 0.1250
0.0000 0.5000 0.5000
0.8750 0.2500 0.6250
0.6250 0.7500 0.8750
0.8750 0.6250 0.7500
0.7208 0.1426 0.0524
0.3316 0.5524 0.4098
0.9476 0.3574 0.2792
0.5524 0.2208 0.1426
0.5782 0.7208 0.6684
0.9476 0.5902 0.1684
0.3316 0.7792 0.4218
0.0902 0.9218 0.1426
0.5902 0.9476 0.6684
0.7208 0.5782 0.1684
0.7792 0.4476 0.3574
0.8316 0.9098 0.0524
0.1426 0.7208 0.5524
0.3574 0.4098 0.0782
0.0782 0.9098 0.3574
0.4218 0.1426 0.5902
0.0782 0.1684 0.2208
0.4476 0.6684 0.0902
0.8316 0.9218 0.2792
0.1426 0.4218 0.0902
0.3574 0.9476 0.7792
0.5902 0.6426 0.4218
0.9098 0.8316 0.5524
0.7792 0.3316 0.9218
0.4098 0.3574 0.5782
0.0902 0.1684 0.4476
0.2208 0.6684 0.0782
0.1684 0.0782 0.7208
0.6426 0.0524 0.2208
0.8574 0.5782 0.9098
0.5524 0.3316 0.9098
0.5782 0.8574 0.4098
0.9218 0.8316 0.7792
0.9218 0.0902 0.6426
0.8574 0.2792 0.4476
0.1684 0.0902 0.9476
0.6426 0.5902 0.9218
0.4098 0.0524 0.3316
0.2792 0.4218 0.8316
0.2208 0.5524 0.6426
0.9098 0.0782 0.8574
0.6684 0.2208 0.5782
0.4476 0.7792 0.8574
0.0524 0.4098 0.8316
0.4218 0.2792 0.3316
0.0524 0.6426 0.7208
0.6684 0.4476 0.5902
0.2792 0.8574 0.9476
```

Summary:
E   -382.7 eV/cell
Mass density   10959 kg/m3

Record 3
The following is a DFT calculation (PBE) of crystalline TiHPt at its relaxed geometry.

Geometry as POSCAR:
```
TiHPt
1.0
3.3491 -0.1955 0.0328
0.1953 3.3497 0.0326
-0.0620 -0.0548 6.0209
Ti H Pt
2 2 2
direct
0.1103 0.3726 0.2211
0.6102 0.8726 0.8915
0.1102 0.8727 0.0564
0.6103 0.3726 0.0563
0.1103 0.3726 0.6868
0.6103 0.8726 0.4258
```

Summary:
E   -38.7 eV/cell
Mass density   11952 kg/m3

Record 4
The following is a DFT calculation (PBE) of crystalline Ti3HPt at its relaxed geometry.

Geometry as POSCAR:
```
Ti3HPt
1.0
-2.0987 2.1528 -0.6360
-1.1400 -1.8927 4.8792
5.1833 6.1112 3.5817
Ti H Pt
6 2 2
direct
0.8730 0.7431 0.5381
0.1297 0.2628 0.4603
0.1297 0.2628 0.0397
0.8730 0.7431 0.9619
0.4368 0.8716 0.2500
0.5673 0.1375 0.7500
0.4935 0.9858 0.0236
0.4935 0.9858 0.4764
0.7267 0.4534 0.2500
0.2768 0.5540 0.7500
```

Summary:
E   -71.3 eV/cell
Mass density   8161 kg/m3

Record 5
The following is a DFT calculation (PBE) of crystalline Ti2HPt at its relaxed geometry.

Geometry as POSCAR:
```
Ti2HPt
1.0
3.6019 -2.2519 0.6636
0.2835 -4.0597 -1.3871
2.5709 -0.9671 -3.3077
H Pt Ti
1 1 2
direct
0.0000 0.0000 0.0000
0.5000 0.5000 0.5000
0.2500 0.2500 0.2500
0.7500 0.7500 0.7500
```

Summary:
E   -26.0 eV/cell
Mass density   8623 kg/m3

Record 6
The following is a DFT calculation (PBE) of crystalline Ti6HPt2 at its relaxed geometry.

Geometry as POSCAR:
```
Ti6HPt2
1.0
2.8600 0.0000 0.0000
0.0000 7.2571 0.0000
0.0000 -3.6286 6.5408
Ti H Pt
6 1 2
direct
0.5000 0.5516 0.0000
0.5000 0.4090 0.3854
0.5000 0.0236 0.6146
0.0000 0.2091 0.0000
0.0000 0.7806 0.7839
0.0000 0.9967 0.2161
0.5000 0.9850 0.0000
0.0000 0.3521 0.6597
0.0000 0.6924 0.3403
```

Summary:
E   -66.7 eV/cell
Mass density   8298 kg/m3

Record 7
The following is a DFT calculation (PBE) of crystalline Ti4HPt2 at its relaxed geometry.

Geometry as POSCAR:
```
Ti4HPt2
1.0
-1.4492 -3.2881 1.4506
2.8726 -0.1199 2.5980
-3.1281 1.9355 6.4380
H Pt Ti
1 2 4
direct
0.0000 0.0000 0.0000
0.3592 0.3592 0.2815
0.6408 0.6408 0.7185
0.1805 0.1805 0.6389
0.8195 0.8195 0.3611
0.0000 0.5000 0.0000
0.5000 0.0000 0.0000
```

Summary:
E   -51.1 eV/cell
Mass density   9352 kg/m3

Record 8
The following is a DFT calculation (PBE) of crystalline Ti3HPt at its relaxed geometry.

Geometry as POSCAR:
```
Ti3HPt
1.0
4.0426 0.0000 0.0000
0.0000 4.0426 0.0000
0.0000 0.0000 4.0426
H Pt Ti
1 1 3
direct
0.0000 0.0000 0.0000
0.5000 0.5000 0.5000
0.0000 0.5000 0.0000
0.0000 0.0000 0.5000
0.5000 0.0000 0.0000
```

Summary:
E   -35.8 eV/cell
Mass density   8538 kg/m3

Record 9
The following is a DFT calculation (PBE) of crystalline TiH2Pt2 at its relaxed geometry.

Geometry as POSCAR:
```
TiH2Pt2
1.0
6.3423 0.0000 0.0000
0.0000 6.3423 0.0000
0.0000 0.0000 2.8055
H Pt Ti
4 4 2
direct
0.2744 0.7744 0.0000
0.7744 0.7256 0.0000
0.7256 0.2256 0.0000
0.2256 0.2744 0.0000
0.1539 0.6539 0.5000
0.6539 0.8461 0.5000
0.8461 0.3461 0.5000
0.3461 0.1539 0.5000
0.0000 0.0000 0.0000
0.5000 0.5000 0.0000
```

Summary:
E   -55.5 eV/cell
Mass density   12950 kg/m3

Record 10
The following is a DFT calculation (PBE) of crystalline Ti5HPt at its relaxed geometry.

Geometry as POSCAR:
```
Ti5HPt
1.0
-2.9738 2.8932 -3.8054
-4.4207 -3.0713 -1.6493
-6.0000 2.8170 3.7664
Ti H Pt
10 2 2
direct
0.0232 0.5814 0.1379
0.2112 0.5585 0.4785
0.5814 0.0232 0.6379
0.9836 0.0164 0.2500
0.4415 0.7888 0.0215
0.5585 0.2112 0.9785
0.0164 0.9836 0.7500
0.4186 0.9768 0.3621
0.7888 0.4415 0.5215
0.9768 0.4186 0.8621
0.0000 0.0000 0.0000
0.0000 0.0000 0.5000
0.6007 0.3993 0.2500
0.3993 0.6007 0.7500
```

Summary:
E   -100.5 eV/cell
Mass density   6729 kg/m3

Record 11
The following is a DFT calculation (PBE) of crystalline TiHPt3 at its relaxed geometry.

Geometry as POSCAR:
```
TiHPt3
1.0
4.7097 0.0000 0.0000
0.0000 4.7097 0.0000
0.0000 0.0000 4.7097
H Pt Ti
1 3 1
direct
0.5000 0.5000 0.5000
0.0000 0.5000 0.0000
0.0000 0.0000 0.5000
0.5000 0.0000 0.0000
0.0000 0.0000 0.0000
```

Summary:
E   -23.5 eV/cell
Mass density   10080 kg/m3

Record 12
The following is a DFT calculation (PBE) of crystalline TiHPt at its relaxed geometry.

Geometry as POSCAR:
```
TiHPt
1.0
2.8936 0.0000 0.0000
0.0000 2.8944 0.0000
0.0000 0.0000 16.1921
Ti H Pt
4 4 4
direct
0.7500 0.4995 0.1740
0.2500 0.0005 0.8260
0.2500 0.9995 0.3260
0.7500 0.5005 0.6740
0.2500 0.5005 0.7501
0.7500 0.9995 0.2499
0.7500 0.0005 0.7499
0.2500 0.4995 0.2501
0.2500 0.0005 0.5657
0.7500 0.4995 0.4343
0.7500 0.5005 0.9343
0.2500 0.9995 0.0657
```

Summary:
E   -76.9 eV/cell
Mass density   11949 kg/m3